## w
Material: PS2OF
Method: DFT, GGA-PBE
State: relaxed

Its density of states at the Fermi level is 5.5 states/eV/cell. As for the density: 2.4 g/cm3. As for the total magnetic moment: 1.74 μB per cell.

It has space group P4/mmm (No. 123), with a = 4.998 Å, b = 4.998 Å, c = 3.646 Å, α = 90.00°, β = 90.00° and γ = 90.00°. The inequivalent atoms are P at (0.000, 0.000, 0.000), S at (0.000, 0.500, 0.500), O at (0.500, 0.500, 0.000) and F at (0.000, 0.000, 0.500).

## x
Material: PS2OF
Method: DFT, GGA-PBE
State: relaxed

Its density of states at the Fermi level is 3.1 states/eV/cell. As for the density: 3.0 g/cm3. As for the total magnetic moment: 0.00 μB per cell.

It has space group P4/mmm (No. 123), with a = 4.201 Å, b = 4.201 Å, c = 4.149 Å, α = 90.00°, β = 90.00° and γ = 90.00°. The inequivalent atoms are P at (0.000, 0.000, 0.000), S at (0.000, 0.500, 0.500), O at (0.000, 0.000, 0.500) and F at (0.500, 0.500, 0.000).

Of them, w has the lowest stability.